No. 1
# YReC2

A relaxed YReC2 crystal (PBE-GGA, the Alexandria database). Values from VASP.

Quantum ESPRESSO input file:
```
&SYSTEM
  ibrav = 0, nat = 16, ntyp = 3
/
ATOMIC_SPECIES
Y 88.91 Y.upf
Re 186.21 Re.upf
C 12.01 C.upf
CELL_PARAMETERS angstrom
5.641 0.000 0.000
0.000 3.359 0.000
0.000 0.000 10.833
ATOMIC_POSITIONS crystal
Y 0.099 0.250 0.132
Y 0.401 0.750 0.632
Y 0.599 0.250 0.368
Y 0.901 0.750 0.868
Re 0.105 0.750 0.382
Re 0.395 0.250 0.882
Re 0.605 0.750 0.118
Re 0.895 0.250 0.618
C 0.151 0.250 0.753
C 0.217 0.250 0.482
C 0.283 0.750 0.982
C 0.349 0.750 0.253
C 0.651 0.250 0.747
C 0.717 0.250 0.018
C 0.783 0.750 0.518
C 0.849 0.750 0.247
```

As for the space-group type: Pnma, No. 62. As for the crystal system: orthorhombic. For the offset from the most stable computed form, the calculation gives 0 meV/atom.

No. 2
# CrRePd2

A relaxed CrRePd2 crystal (PBE-GGA, the Alexandria database). Values from VASP.

Quantum ESPRESSO input file:
```
&SYSTEM
  ibrav = 0, nat = 16, ntyp = 3
/
ATOMIC_SPECIES
Cr 52.00 Cr.upf
Re 186.21 Re.upf
Pd 106.42 Pd.upf
CELL_PARAMETERS angstrom
6.240 0.000 0.000
0.000 6.240 0.000
0.000 0.000 6.240
ATOMIC_POSITIONS crystal
Cr 0.000 0.000 0.000
Cr 0.000 0.500 0.500
Cr 0.500 0.000 0.500
Cr 0.500 0.500 0.000
Re 0.000 0.000 0.500
Re 0.000 0.500 0.000
Re 0.500 0.000 0.000
Re 0.500 0.500 0.500
Pd 0.250 0.250 0.250
Pd 0.250 0.250 0.750
Pd 0.250 0.750 0.250
Pd 0.250 0.750 0.750
Pd 0.750 0.250 0.250
Pd 0.750 0.250 0.750
Pd 0.750 0.750 0.250
Pd 0.750 0.750 0.750
```

As for the space-group type: Fm-3m, No. 225. As for the crystal system: cubic. For the offset from the most stable computed form, the calculation gives 0 meV/atom.

No. 3
# Er2Sc3Al4

A relaxed Er2Sc3Al4 crystal (PBE-GGA, the Alexandria database). Values from VASP.

Quantum ESPRESSO input file:
```
&SYSTEM
  ibrav = 0, nat = 18, ntyp = 3
/
ATOMIC_SPECIES
Er 167.26 Er.upf
Sc 44.96 Sc.upf
Al 26.98 Al.upf
CELL_PARAMETERS angstrom
3.179 -7.827 0.000
3.179 7.827 0.000
0.000 0.000 8.282
ATOMIC_POSITIONS crystal
Er 0.109 0.891 0.916
Er 0.391 0.609 0.416
Er 0.609 0.391 0.584
Er 0.891 0.109 0.084
Sc 0.000 0.000 0.500
Sc 0.030 0.470 0.750
Sc 0.470 0.030 0.250
Sc 0.500 0.500 0.000
Sc 0.530 0.970 0.750
Sc 0.970 0.530 0.250
Al 0.181 0.819 0.537
Al 0.209 0.291 0.750
Al 0.291 0.209 0.250
Al 0.319 0.681 0.037
Al 0.681 0.319 0.963
Al 0.709 0.791 0.750
Al 0.791 0.709 0.250
Al 0.819 0.181 0.463
```

As for the space-group type: Cmce, No. 64. As for the crystal system: orthorhombic. As for the electronic total energy: -4.996 eV per atom.

No. 4
# Ac2Np2S7

A relaxed Ac2Np2S7 crystal (PBE-GGA, the Alexandria database). Values from VASP.

Quantum ESPRESSO input file:
```
&SYSTEM
  ibrav = 0, nat = 11, ntyp = 3
/
ATOMIC_SPECIES
Ac 227.00 Ac.upf
Np 237.00 Np.upf
S 32.06 S.upf
CELL_PARAMETERS angstrom
-2.071 7.219 4.414
2.071 -7.219 4.414
2.071 7.219 -4.414
ATOMIC_POSITIONS crystal
Ac 0.239 0.000 0.239
Ac 0.761 0.000 0.761
Np 0.288 0.788 0.500
Np 0.742 0.742 0.000
S 0.024 0.700 0.324
S 0.069 0.069 0.000
S 0.368 0.470 0.899
S 0.376 0.700 0.676
S 0.571 0.470 0.101
S 0.667 0.290 0.377
S 0.914 0.290 0.623
```

As for the space-group type: Imm2, No. 44. As for the formation energy without anion corrections: -18.2 eV/f.u. As for the crystal system: orthorhombic. For the offset from the most stable computed form, the calculation gives 21 meV/atom.

No. 5
# Cs2ZnBiO4

A relaxed Cs2ZnBiO4 crystal (PBE-GGA, the Alexandria database). Values from VASP.

Quantum ESPRESSO input file:
```
&SYSTEM
  ibrav = 0, nat = 16, ntyp = 4
/
ATOMIC_SPECIES
Cs 132.91 Cs.upf
Zn 65.41 Zn.upf
Bi 208.98 Bi.upf
O 16.00 O.upf
CELL_PARAMETERS angstrom
0.000 6.771 10.517
2.891 0.000 10.517
2.891 6.771 0.000
ATOMIC_POSITIONS crystal
Cs 0.050 0.050 0.700
Cs 0.300 0.300 0.950
Cs 0.700 0.700 0.050
Cs 0.950 0.950 0.300
Zn 0.125 0.125 0.125
Zn 0.875 0.875 0.875
Bi 0.375 0.375 0.375
Bi 0.625 0.625 0.625
O 0.024 0.319 0.396
O 0.239 0.604 0.681
O 0.319 0.024 0.761
O 0.396 0.761 0.024
O 0.604 0.239 0.976
O 0.681 0.976 0.239
O 0.761 0.396 0.319
O 0.976 0.681 0.604
```

As for the space-group type: Fddd, No. 70. As for the formation energy without anion corrections: -9.2 eV/f.u. As for the crystal system: orthorhombic.

No. 6
# DyErC

A relaxed DyErC crystal (PBE-GGA, the Alexandria database). Values from VASP.

Quantum ESPRESSO input file:
```
&SYSTEM
  ibrav = 0, nat = 3, ntyp = 3
/
ATOMIC_SPECIES
Dy 162.50 Dy.upf
Er 167.26 Er.upf
C 12.01 C.upf
CELL_PARAMETERS angstrom
3.555 0.000 0.000
-1.777 3.078 0.000
0.000 0.000 6.212
ATOMIC_POSITIONS crystal
Dy 0.000 0.000 0.000
Er 0.333 0.667 0.433
C 0.667 0.333 0.219
```

As for the space-group type: P3m1, No. 156. As for the crystal system: trigonal. For the offset from the most stable computed form, the calculation gives 24 meV/atom.

No. 7
# Tb8Cd2Cu

A relaxed Tb8Cd2Cu crystal (PBE-GGA, the Alexandria database). Values from VASP.

Quantum ESPRESSO input file:
```
&SYSTEM
  ibrav = 0, nat = 11, ntyp = 3
/
ATOMIC_SPECIES
Tb 158.93 Tb.upf
Cd 112.41 Cd.upf
Cu 63.55 Cu.upf
CELL_PARAMETERS angstrom
8.966 -2.633 0.000
8.966 2.633 0.000
-1.896 0.000 6.591
ATOMIC_POSITIONS crystal
Tb 0.020 0.020 0.275
Tb 0.200 0.200 0.796
Tb 0.346 0.346 0.538
Tb 0.409 0.409 0.056
Tb 0.591 0.591 0.944
Tb 0.654 0.654 0.462
Tb 0.800 0.800 0.204
Tb 0.980 0.980 0.725
Cd 0.187 0.187 0.226
Cd 0.813 0.813 0.774
Cu 0.500 0.500 0.500
```

As for the space-group type: C2/m, No. 12. As for the crystal system: monoclinic. As for the electronic total energy: -4.005 eV per atom.

No. 8
# K2ScAsSe

A relaxed K2ScAsSe crystal (PBE-GGA, the Alexandria database). Values from VASP.

Quantum ESPRESSO input file:
```
&SYSTEM
  ibrav = 0, nat = 5, ntyp = 4
/
ATOMIC_SPECIES
K 39.10 K.upf
Sc 44.96 Sc.upf
As 74.92 As.upf
Se 78.96 Se.upf
CELL_PARAMETERS angstrom
6.872 0.000 0.000
0.000 6.872 0.000
0.000 0.000 4.843
ATOMIC_POSITIONS crystal
K 0.000 0.500 0.000
K 0.500 0.000 0.000
Sc 0.000 0.000 0.000
As 0.500 0.500 0.500
Se 0.000 0.000 0.500
```

As for the space-group type: P4/mmm, No. 123. As for the formation energy without anion corrections: 0.9 eV/f.u. As for the crystal system: tetragonal.

No. 9
# SrZrTa2

A relaxed SrZrTa2 crystal (PBE-GGA, the Alexandria database). Values from VASP.

Quantum ESPRESSO input file:
```
&SYSTEM
  ibrav = 0, nat = 8, ntyp = 3
/
ATOMIC_SPECIES
Sr 87.62 Sr.upf
Zr 91.22 Zr.upf
Ta 180.95 Ta.upf
CELL_PARAMETERS angstrom
3.709 0.000 0.000
0.000 4.718 0.000
0.000 0.000 10.516
ATOMIC_POSITIONS crystal
Sr 0.000 0.000 0.000
Sr 0.500 0.500 0.000
Zr 0.000 0.000 0.500
Zr 0.500 0.500 0.500
Ta 0.000 0.500 0.280
Ta 0.000 0.500 0.720
Ta 0.500 0.000 0.280
Ta 0.500 0.000 0.720
```

As for the space-group type: Cmmm, No. 65. As for the crystal system: orthorhombic. For the offset from the most stable computed form, the calculation gives 229 meV/atom.

No. 10
# Tb2BeCuPd6

A relaxed Tb2BeCuPd6 crystal (PBE-GGA, the Alexandria database). Values from VASP.

Quantum ESPRESSO input file:
```
&SYSTEM
  ibrav = 0, nat = 10, ntyp = 4
/
ATOMIC_SPECIES
Tb 158.93 Tb.upf
Be 9.01 Be.upf
Cu 63.55 Cu.upf
Pd 106.42 Pd.upf
CELL_PARAMETERS angstrom
5.441 0.000 0.000
2.318 5.491 0.000
2.312 -0.175 5.920
ATOMIC_POSITIONS crystal
Tb 0.007 0.239 0.276
Tb 0.993 0.761 0.724
Be 0.500 0.500 0.000
Cu 0.500 0.000 0.500
Pd 0.008 0.721 0.243
Pd 0.379 0.888 0.902
Pd 0.491 0.344 0.703
Pd 0.509 0.656 0.297
Pd 0.621 0.112 0.098
Pd 0.992 0.279 0.757
```

As for the space-group type: P-1, No. 2. As for the crystal system: triclinic. As for the electronic total energy: -5.398 eV per atom.

No. 11
# SiIrN

A relaxed SiIrN crystal (PBE-GGA, the Alexandria database). Values from VASP.

Quantum ESPRESSO input file:
```
&SYSTEM
  ibrav = 0, nat = 6, ntyp = 3
/
ATOMIC_SPECIES
Si 28.09 Si.upf
Ir 192.22 Ir.upf
N 14.01 N.upf
CELL_PARAMETERS angstrom
4.832 0.000 0.000
0.000 2.790 0.000
-1.637 0.000 5.034
ATOMIC_POSITIONS crystal
Si 0.000 0.000 0.000
Si 0.500 0.500 0.000
Ir 0.038 0.500 0.607
Ir 0.538 0.000 0.607
N 0.388 0.000 0.161
N 0.888 0.500 0.161
```

As for the space-group type: Cm, No. 8. As for the formation energy without anion corrections: -1.1 eV/f.u. As for the crystal system: monoclinic. For the offset from the most stable computed form, the calculation gives 119 meV/atom.

No. 12
# CeTmBr2

A relaxed CeTmBr2 crystal (PBE-GGA, the Alexandria database). Values from VASP.

Quantum ESPRESSO input file:
```
&SYSTEM
  ibrav = 0, nat = 12, ntyp = 3
/
ATOMIC_SPECIES
Ce 140.12 Ce.upf
Tm 168.93 Tm.upf
Br 79.90 Br.upf
CELL_PARAMETERS angstrom
3.707 0.000 0.000
-1.854 3.210 0.000
0.000 0.000 30.050
ATOMIC_POSITIONS crystal
Ce 0.000 0.000 0.000
Ce 0.333 0.667 0.667
Ce 0.667 0.333 0.333
Tm 0.000 0.000 0.500
Tm 0.333 0.667 0.167
Tm 0.667 0.333 0.833
Br 0.000 0.000 0.406
Br 0.000 0.000 0.594
Br 0.333 0.667 0.073
Br 0.333 0.667 0.261
Br 0.667 0.333 0.739
Br 0.667 0.333 0.927
```

As for the space-group type: R-3m, No. 166. As for the formation energy without anion corrections: -4.0 eV/f.u. As for the crystal system: trigonal.